The following is a GGA-PBE calculation of TaBrCl2 after structural relaxation, from Alexandria.

## Properties
**Polymorph energy (0 for the lowest one)**: 587.3 kJ/mol of formula units
**Space group**: P4/mmm, No. 123
**Electronic total energy**: -15.11 eV/cell

Cell lengths 4.4459, 4.2748, 4.2748 Å; angles 90.00, 90.00, 90.00 degrees
With the nearest neighbours (Å) after each atom.
Sites, in units of the cell vectors:
Ta 0.5000 0.5000 0.0000  4 Br 3.02, 8 Cl 3.08
Br 0.5000 0.0000 0.5000  4 Ta 3.02, 8 Cl 3.08
Cl 0.0000 0.0000 0.0000  4 Cl 3.02, 4 Ta 3.08, 4 Br 3.08
Cl 0.0000 0.5000 0.5000  4 Cl 3.02, 4 Ta 3.08, 4 Br 3.08

The following is a GGA-PBE calculation of AlAg2HgSe4 after structural relaxation, from Alexandria.

## Properties
**Space group**: I-42m, No. 121
**Electronic total energy**: -26.36 eV/cell

Cell lengths 5.9109, 5.9109, 7.4561 Å; angles 113.35, 113.35, 90.00 degrees
With the nearest neighbours (Å) after each atom.
Sites, in units of the cell vectors:
Hg 0.0001 0.0001 0.0002  4 Se 2.70
Se 0.8499 0.3905 0.2404  1 Al 2.43, 2 Ag 2.64, 1 Hg 2.70
Se 0.3905 0.8499 0.2404  1 Al 2.43, 2 Ag 2.64, 1 Hg 2.70
Al 0.5000 0.5000 0.0000  4 Se 2.43
Ag 0.7500 0.2501 0.5001  4 Se 2.64
Ag 0.2501 0.7500 0.5001  4 Se 2.64
Se 0.6096 0.6096 0.7597  1 Al 2.43, 2 Ag 2.64, 1 Hg 2.70
Se 0.1501 0.1501 0.7597  1 Al 2.43, 2 Ag 2.64, 1 Hg 2.70

The following is a GGA-PBE calculation of LiSbTe2 after structural relaxation, from Alexandria.

## Properties
**Space group**: Immm, No. 71
**Electronic total energy**: -12.96 eV/cell

Cell lengths 5.5538, 5.5538, 5.5538 Å; angles 132.64, 111.38, 87.60 degrees
With the nearest neighbours (Å) after each atom.
Sites, in units of the cell vectors:
Te 0.5161 0.5161 0.0000  2 Li 2.91, 2 Sb 3.09
Te 0.9839 0.9839 0.0000  2 Li 2.91, 2 Sb 3.09
Sb 0.2500 0.7500 0.5000  4 Te 3.09
Li 0.7500 0.2500 0.5000  4 Te 2.91

The following is a GGA-PBE calculation of La3Mn after structural relaxation, from Alexandria.

## Properties
**Space group**: R-3m, No. 166
**ΔE_f**: 0.28 eV/atom
**Electronic total energy**: -22.84 eV/cell

Cell lengths 3.6686, 11.0277, 3.6686 Å; angles 99.57, 60.00, 99.57 degrees
With the nearest neighbours (Å) after each atom.
Sites, in units of the cell vectors:
Mn 0.7500 0.2500 0.7500  6 La 3.11
La 0.2500 0.7500 0.2500  12 La 3.67-3.78
La 0.0131 0.0394 0.0131  3 Mn 3.11
La 0.4869 0.4606 0.4869  3 Mn 3.11

The following is a GGA-PBE calculation of SrInPt2 after structural relaxation, from Alexandria.

## Properties
**Space group**: Cmmm, No. 65
**ΔE_f**: -0.48 eV/atom
**Electronic total energy**: -18.42 eV/cell

Cell lengths 5.0334, 7.8269, 3.3045 Å; angles 65.10, 89.95, 129.74 degrees
With the nearest neighbours (Å) after each atom.
Sites, in units of the cell vectors:
Sr 0.5000 0.5000 0.0000  8 Pt 3.01, 2 Sr 3.30
Pt 0.0000 0.5000 0.5000  4 Sr 3.01, 4 In 3.01, 2 Pt 3.30
Pt 0.0000 0.0000 0.0000  4 In 3.01, 4 Sr 3.01, 2 Pt 3.30
In 0.5000 0.0000 0.5000  8 Pt 3.01, 2 In 3.30

The following is a GGA-PBE calculation of CeLuHg2 after structural relaxation, from Alexandria.

## Properties
**Polymorph energy (0 for the lowest one)**: 9.4 kJ/mol of formula units
**Space group**: Fm-3m, No. 225
**ΔE_f**: -0.36 eV/atom
**Electronic total energy**: -12.51 eV/cell

Cell lengths 5.3060, 5.3060, 5.3060 Å; angles 60.00, 60.00, 60.00 degrees
With the nearest neighbours (Å) after each atom.
Sites, in units of the cell vectors:
Ce 0.5000 0.5000 0.5000  8 Hg 3.25
Lu 0.0000 0.0000 0.0000  8 Hg 3.25
Hg 0.2500 0.2500 0.2500  4 Lu 3.25, 4 Ce 3.25
Hg 0.7500 0.7500 0.7500  4 Ce 3.25, 4 Lu 3.25

The following is a GGA-PBE calculation of Ba2ZnHg7 after structural relaxation, from Alexandria.

## Properties
**Space group**: P-4m2, No. 115
**ΔE_f**: -0.30 eV/atom
**Electronic total energy**: -10.20 eV/cell

Cell lengths 5.3161, 5.3161, 10.5684 Å; angles 90.00, 90.00, 90.00 degrees
With the nearest neighbours (Å) after each atom.
Sites, in units of the cell vectors:
Hg 0.0000 0.5000 0.8948  3 Hg 2.83-2.88, 2 Zn 2.88
Hg 0.5000 0.0000 0.1052  3 Hg 2.83-2.88, 2 Zn 2.88
Hg 0.0000 0.0000 0.0000  4 Hg 2.88
Hg 0.5000 0.5000 0.5000  4 Hg 2.98
Hg 0.0000 0.0000 0.5000  4 Hg 2.98
Hg 0.5000 0.0000 0.3728  5 Hg 2.83-2.98
Ba 0.0000 0.5000 0.2487  16 Hg 3.74-4.05, 2 Zn 3.74
Ba 0.5000 0.0000 0.7513  2 Zn 3.74, 16 Hg 3.74-4.05
Hg 0.0000 0.5000 0.6272  5 Hg 2.83-2.98
Zn 0.5000 0.5000 0.0000  4 Hg 2.88

The following is a GGA-PBE calculation of LaCe2DyIn4 after structural relaxation, from Alexandria.

## Properties
**Space group**: R-3m, No. 166
**ΔE_f**: -0.40 eV/atom
**Electronic total energy**: -35.51 eV/cell

Cell lengths 5.4566, 5.4566, 9.4899 Å; angles 73.29, 73.29, 60.00 degrees
With the nearest neighbours (Å) after each atom.
Sites, in units of the cell vectors:
Ce 0.2493 0.2493 0.2520  8 In 3.28-3.44
La 0.0000 0.0000 0.0000  8 In 3.37-3.41
In 0.3774 0.3774 0.8678  1 Dy 3.29, 4 Ce 3.33-3.44, 3 La 3.37
Ce 0.7507 0.7507 0.7480  8 In 3.28-3.44
Dy 0.5000 0.5000 0.5000  8 In 3.29-3.33
In 0.1270 0.1270 0.6189  4 Ce 3.28-3.36, 3 Dy 3.33, 1 La 3.41
In 0.6226 0.6226 0.1322  1 Dy 3.29, 4 Ce 3.33-3.44, 3 La 3.37
In 0.8730 0.8730 0.3811  4 Ce 3.28-3.36, 3 Dy 3.33, 1 La 3.41

The following is a GGA-PBE calculation of BeCIN2 after structural relaxation, from Alexandria.

## Properties
**Polymorph energy (0 for the lowest one)**: 0.0 kJ/mol of formula units
**Space group**: P4/mmm, No. 123
**Electronic total energy**: -21.18 eV/cell

Cell lengths 3.2780, 3.2780, 7.3470 Å; angles 90.00, 90.00, 90.00 degrees
With the nearest neighbours (Å) after each atom.
Sites, in units of the cell vectors:
I 0.0000 0.0000 0.5000  4 C 2.32
C 0.5000 0.5000 0.5000  4 I 2.32
N 0.0000 0.5000 0.0000  2 Be 1.64
Be 0.0000 0.0000 0.0000  4 N 1.64
N 0.5000 0.0000 0.0000  2 Be 1.64

The following is a GGA-PBE calculation of BaAsOs2 after structural relaxation, from Alexandria.

## Properties
**Space group**: Pmmm, No. 47
**ΔE_f**: 1.24 eV/atom
**Electronic total energy**: -24.09 eV/cell

Cell lengths 2.8973, 5.0947, 5.5353 Å; angles 90.00, 90.00, 90.00 degrees
With the nearest neighbours (Å) after each atom.
Sites, in units of the cell vectors:
Os 0.5000 0.5000 0.0000  6 Os 2.90-2.93, 4 Ba 3.12
Os 0.0000 0.0000 0.0000  6 Os 2.90-2.93, 4 As 3.12
As 0.5000 0.0000 0.5000  2 As 2.90, 4 Ba 2.93, 4 Os 3.12
Ba 0.0000 0.5000 0.5000  2 Ba 2.90, 4 As 2.93, 4 Os 3.12

The following is a GGA-PBE calculation of BaAgBi3 after structural relaxation, from Alexandria.

## Properties
**Polymorph energy (0 for the lowest one)**: 0.0 kJ/mol of formula units
**Space group**: Pmn2_1, No. 31
**ΔE_f**: -0.34 eV/atom
**Electronic total energy**: -36.19 eV/cell

Cell lengths 6.9737, 7.0592, 6.9421 Å; angles 90.00, 90.00, 90.00 degrees
With the nearest neighbours (Å) after each atom.
Sites, in units of the cell vectors:
Bi 0.8334 0.0852 0.7008  1 Ag 2.91
Bi 0.9767 0.4628 0.9472  2 Ag 3.05-3.11, 2 Bi 3.32-3.35
Ag 0.1313 0.7973 0.7008  5 Bi 2.91-3.11
Bi 0.3334 0.2675 0.2008  1 Ag 2.91
Ag 0.6313 0.5554 0.2008  5 Bi 2.91-3.11
Bi 0.4767 0.8900 0.9544  2 Ag 3.05-3.11, 2 Bi 3.32-3.35
Ba 0.9600 0.9395 0.2008  7 Bi 3.48-3.80, 3 Ag 3.55-3.81
Ba 0.4600 0.4133 0.7008  7 Bi 3.48-3.80, 3 Ag 3.55-3.81
Bi 0.9767 0.4628 0.4544  2 Ag 3.05-3.11, 2 Bi 3.32-3.35
Bi 0.4767 0.8900 0.4472  2 Ag 3.05-3.11, 2 Bi 3.32-3.35

The following is a GGA-PBE calculation of Y4ScPd5 after structural relaxation, from Alexandria.

## Properties
**Space group**: P4/mmm, No. 123
**ΔE_f**: -0.87 eV/atom
**Electronic total energy**: -66.81 eV/cell

Cell lengths 3.4395, 3.4395, 17.7691 Å; angles 90.00, 90.00, 90.00 degrees
With the nearest neighbours (Å) after each atom.
Sites, in units of the cell vectors:
Pd 0.5000 0.5000 0.9125  4 Sc 2.89, 4 Y 3.07, 1 Pd 3.11
Y 0.0000 0.0000 0.1928  8 Pd 3.04-3.07
Y 0.0000 0.0000 0.6026  8 Pd 3.03-3.04
Pd 0.5000 0.5000 0.7047  8 Y 3.03-3.04
Pd 0.5000 0.5000 0.2953  8 Y 3.03-3.04
Y 0.0000 0.0000 0.3974  8 Pd 3.03-3.04
Pd 0.5000 0.5000 0.5000  8 Y 3.04
Y 0.0000 0.0000 0.8072  8 Pd 3.04-3.07
Pd 0.5000 0.5000 0.0875  4 Sc 2.89, 4 Y 3.07, 1 Pd 3.11
Sc 0.0000 0.0000 0.0000  8 Pd 2.89